1.
The following is a DFT calculation (PBE) of a relaxed structure of LiCd2Sb.

- Formation energy (no corrections): -0.02 eV/atom

a b c (Å): 9.763 9.763 9.763
angles (deg): 19.86 19.86 19.86
Atoms (fractional coordinates):
1 Cd 0.993 0.993 0.993
2 Li 0.250 0.250 0.250
3 Sb 0.750 0.750 0.750
4 Cd 0.507 0.507 0.507

2.
The following is a DFT calculation (PBE) of a relaxed structure of Ti3ReSn.

- Offset from the most stable computed form: 0.00 kcal/mol of atoms
- Formation energy from the elements: 0.43 eV per atom

a b c (Å): 4.762 4.762 4.762
angles (deg): 90.00 90.00 90.00
Last column: magnetic moment on the atom in μB.
Atoms (fractional coordinates):
1 Sn 0.500 0.500 0.500  -0.03
2 Ti 0.000 0.500 0.000  0.34
3 Ti 0.000 0.000 0.500  0.24
4 Ti 0.500 0.000 0.000  0.55
5 Re 0.000 0.000 0.000  -0.09

3.
The following is a DFT calculation (PBE) of a relaxed structure of LiCaZr2.

- Offset from the most stable computed form: 6.53 kcal/mol of atoms
- Formation energy from the elements: 0.45 eV per atom

a b c (Å): 3.108 5.346 5.947
angles (deg): 90.00 90.00 90.00
Atoms (fractional coordinates):
1 Zr 0.000 0.000 0.505
2 Zr 0.000 0.000 0.995
3 Ca 0.500 0.500 0.250
4 Li 0.500 0.500 0.750

4.
The following is a DFT calculation (PBE) of a relaxed structure of SrTa3.

- Formation energy from the elements: 0.84 eV per atom

a b c (Å): 6.918 4.870 10.681
angles (deg): 90.00 90.00 90.00
Atoms (fractional coordinates):
1 Ta 0.635 0.286 0.021
2 Ta 0.635 0.286 0.479
3 Sr 0.872 0.393 0.750
4 Ta 0.831 0.124 0.250
5 Ta 0.169 0.876 0.750
6 Ta 0.669 0.624 0.250
7 Ta 0.865 0.786 0.479
8 Ta 0.865 0.786 0.021
9 Ta 0.331 0.376 0.750
10 Ta 0.135 0.214 0.521
11 Ta 0.365 0.714 0.521
12 Sr 0.628 0.893 0.750
13 Ta 0.135 0.214 0.979
14 Sr 0.372 0.107 0.250
15 Ta 0.365 0.714 0.979
16 Sr 0.128 0.607 0.250

5.
The following is a DFT calculation (PBE) of a relaxed structure of NaPb3S.

- Formation energy (no corrections): 0.64 eV/atom
- Offset from the most stable computed form: 14.19 kcal/mol of atoms

a b c (Å): 5.484 5.484 5.484
angles (deg): 90.00 90.00 90.00
Atoms (fractional coordinates):
1 S 0.500 0.500 0.500
2 Pb 0.000 0.500 0.000
3 Na 0.000 0.000 0.000
4 Pb 0.000 0.000 0.500
5 Pb 0.500 0.000 0.000

6.
The following is a DFT calculation (PBE) of a relaxed structure of MgAsRu2.

- Formation energy from the elements: 0.07 eV per atom

a b c (Å): 4.968 4.968 4.968
angles (deg): 135.70 135.70 64.45
Atoms (fractional coordinates):
1 As 0.500 0.500 0.000
2 Ru 0.000 0.000 0.000
3 Mg 0.750 0.250 0.500
4 Ru 0.250 0.750 0.500

7.
The following is a DFT calculation (PBE) of a relaxed structure of LiSmBe2H6.

a b c (Å): 4.301 4.301 5.636
angles (deg): 67.57 67.57 60.00
Atoms (fractional coordinates):
1 H 0.569 0.569 0.785
2 Li 0.500 0.500 0.500
3 H 0.431 0.431 0.215
4 Sm 0.000 0.000 0.000
5 H 0.569 0.077 0.785
6 H 0.431 0.923 0.215
7 Be 0.781 0.781 0.657
8 Be 0.219 0.219 0.343
9 H 0.077 0.569 0.785
10 H 0.923 0.431 0.215

8.
The following is a DFT calculation (PBE) of a relaxed structure of PrScZnOs.

- Formation energy from the elements: -0.15 eV per atom

a b c (Å): 4.888 4.888 4.888
angles (deg): 60.00 60.00 60.00
Atoms (fractional coordinates):
1 Sc 0.250 0.250 0.250
2 Pr 0.750 0.750 0.750
3 Zn 0.500 0.500 0.500
4 Os 0.000 0.000 0.000

9.
The following is a DFT calculation (PBE) of a relaxed structure of Li5FePdN2.

- Formation energy (no corrections): -0.18 eV/atom

a b c (Å): 4.062 4.062 7.494
angles (deg): 90.00 90.00 90.00
Last column: magnetic moment on the atom in μB.
Atoms (fractional coordinates):
1 Li 0.500 0.000 0.757  -0.01
2 Li 0.500 0.000 0.243  -0.01
3 Fe 0.000 0.000 0.000  1.16
4 N 0.000 0.000 0.773  -0.07
5 Li 0.000 0.500 0.757  -0.01
6 N 0.000 0.000 0.227  -0.07
7 Li 0.000 0.500 0.243  -0.01
8 Li 0.000 0.000 0.500  0.00
9 Pd 0.500 0.500 0.500  -0.06

10.
The following is a DFT calculation (PBE) of a relaxed structure of K6InHg4.

- Formation energy from the elements: -0.18 eV per atom

a b c (Å): 8.604 11.370 11.370
angles (deg): 120.00 90.00 90.00
Atoms (fractional coordinates):
1 Hg 0.396 0.333 0.667
2 Hg 0.858 0.613 0.806
3 In 0.739 0.333 0.667
4 K 0.960 0.865 0.731
5 K 0.134 0.057 0.529
6 In 0.239 0.667 0.333
7 K 0.134 0.471 0.529
8 K 0.460 0.135 0.269
9 Hg 0.896 0.667 0.333
10 K 0.460 0.135 0.865
11 Hg 0.358 0.806 0.613
12 K 0.634 0.529 0.471
13 K 0.634 0.529 0.057
14 Hg 0.858 0.194 0.387
15 K 0.960 0.865 0.135
16 K 0.634 0.943 0.471
17 Hg 0.358 0.387 0.194
18 K 0.460 0.731 0.865
19 K 0.134 0.471 0.943
20 Hg 0.358 0.806 0.194
21 K 0.960 0.269 0.135
22 Hg 0.858 0.194 0.806

11.
The following is a DFT calculation (PBE) of a relaxed structure of Tm4AlTl3.

- Formation energy from the elements: -0.31 eV per atom

a b c (Å): 3.618 3.618 15.579
angles (deg): 90.00 90.00 90.00
Atoms (fractional coordinates):
1 Tm 0.000 0.000 0.887
2 Tl 0.500 0.500 0.243
3 Tl 0.500 0.500 0.757
4 Tl 0.500 0.500 0.500
5 Tm 0.000 0.000 0.371
6 Tm 0.000 0.000 0.113
7 Al 0.500 0.500 0.000
8 Tm 0.000 0.000 0.629

| no. | final energy (eV/atom) |
| --- | --- |
| 1 | -1.98 |
| 2 | -7.60 |
| 3 | -4.80 |
| 4 | -8.47 |
| 5 | -2.67 |
| 6 | -6.13 |
| 7 | -3.66 |
| 8 | -6.05 |
| 9 | -4.61 |
| 10 | -1.13 |
| 11 | -3.90 |